No. 1
{"formula": "TaNi2Ir", "functional": "PBE", "state": "optimized geometry", "lattice": [[3.1927, 0.0000, 0.0000], [0.0000, 3.1927, 0.0000], [0.0000, 0.0000, 5.3595]], "species": ["Ta", "Ni", "Ni", "Ir"], "frac_coords": [[0.0000, 0.0000, 0.0000], [0.5000, 0.5000, 0.2392], [0.5000, 0.5000, 0.7608], [0.0000, 0.0000, 0.5000]], "delta_e_f_ev_per_atom": -0.175, "n_ef_per_ev_fu": 1.8, "dft_energy_ev_per_cell": -33.0, "rho_g_cm3": 14.91}


No. 2
{"formula": "Ta2NiIr", "functional": "PBE", "state": "optimized geometry", "lattice": [[3.9675, 0.0000, 0.0000], [0.0000, 3.9675, 0.0000], [0.0000, 0.0000, 3.8931]], "species": ["Ta", "Ta", "Ni", "Ir"], "frac_coords": [[0.0000, 0.5000, 0.0000], [0.5000, 0.0000, 0.0000], [0.0000, 0.0000, 0.5000], [0.5000, 0.5000, 0.5000]], "delta_e_f_ev_per_atom": -0.398, "n_ef_per_ev_fu": 2.8, "dft_energy_ev_per_cell": -39.9, "rho_g_cm3": 16.61}


No. 3
{"formula": "TaNiIr4", "functional": "PBE", "state": "optimized geometry", "lattice": [[0.0000, 3.6155, 3.6155], [3.6155, 0.0000, 3.6155], [3.6155, 3.6155, 0.0000]], "species": ["Ta", "Ni", "Ir", "Ir", "Ir", "Ir"], "frac_coords": [[0.0000, 0.0000, 0.0000], [0.2500, 0.2500, 0.2500], [0.1261, 0.6246, 0.6246], [0.6246, 0.1261, 0.6246], [0.6246, 0.6246, 0.1261], [0.6246, 0.6246, 0.6246]], "delta_e_f_ev_per_atom": 0.091, "n_ef_per_ev_fu": 9.2, "dft_energy_ev_per_cell": -52.5, "rho_g_cm3": 17.72}


No. 4
{"formula": "Ta2Ni9Ir", "functional": "PBE", "state": "optimized geometry", "lattice": [[4.4487, 0.0000, 0.0000], [1.5006, 5.6535, 0.0000], [0.0008, 2.3508, 5.8971]], "species": ["Ta", "Ta", "Ni", "Ni", "Ni", "Ni", "Ni", "Ni", "Ni", "Ni", "Ni", "Ir"], "frac_coords": [[0.0931, 0.2229, 0.0820], [0.9069, 0.7771, 0.9180], [0.1613, 0.5039, 0.6663], [0.2599, 0.7350, 0.2507], [0.3354, 0.0128, 0.8210], [0.4207, 0.2520, 0.4130], [0.5000, 0.5000, 0.0000], [0.5793, 0.7480, 0.5870], [0.6646, 0.9872, 0.1790], [0.7401, 0.2650, 0.7493], [0.8387, 0.4961, 0.3337], [0.0000, 0.0000, 0.5000]], "delta_e_f_ev_per_atom": -0.191, "n_ef_per_ev_fu": 11.9, "dft_energy_ev_per_cell": -86.9, "rho_g_cm3": 12.12}


No. 5
{"formula": "TaNi5Ir6", "functional": "PBE", "state": "optimized geometry", "lattice": [[4.5340, 0.0000, 0.0000], [0.0000, 5.4478, 0.0000], [-0.3702, 0.0000, 6.5111]], "species": ["Ta", "Ni", "Ni", "Ni", "Ni", "Ni", "Ir", "Ir", "Ir", "Ir", "Ir", "Ir"], "frac_coords": [[0.0000, 0.0000, 0.0000], [0.0000, 0.5000, 0.0000], [0.3333, 0.0000, 0.6679], [0.3337, 0.5000, 0.6755], [0.6663, 0.5000, 0.3245], [0.6667, 0.0000, 0.3321], [0.1708, 0.2542, 0.3396], [0.1708, 0.7458, 0.3396], [0.5000, 0.2569, 0.0000], [0.5000, 0.7431, 0.0000], [0.8292, 0.2542, 0.6604], [0.8292, 0.7458, 0.6604]], "delta_e_f_ev_per_atom": -0.110, "n_ef_per_ev_fu": 17.3, "dft_energy_ev_per_cell": -95.2, "rho_g_cm3": 16.81}


No. 6
{"formula": "TaNi2Ir", "functional": "PBE", "state": "optimized geometry", "lattice": [[1.3630, 0.7869, 8.6438], [-1.3630, 0.7869, 8.6438], [0.0000, -1.5738, 8.6438]], "species": ["Ta", "Ni", "Ni", "Ir"], "frac_coords": [[0.0000, 0.0000, 0.0000], [0.2483, 0.2483, 0.2483], [0.7517, 0.7517, 0.7517], [0.5000, 0.5000, 0.5000]], "delta_e_f_ev_per_atom": 0.090, "n_ef_per_ev_fu": 5.7, "dft_energy_ev_per_cell": -31.9, "rho_g_cm3": 14.64}


No. 7
{"formula": "TaNiIr3", "functional": "PBE", "state": "optimized geometry", "lattice": [[4.4012, 0.0000, 0.0000], [0.0000, 4.4012, 0.0000], [0.0000, 0.0000, 4.4012]], "species": ["Ta", "Ni", "Ir", "Ir", "Ir"], "frac_coords": [[0.0000, 0.0000, 0.0000], [0.5000, 0.5000, 0.5000], [0.0000, 0.5000, 0.5000], [0.5000, 0.0000, 0.5000], [0.5000, 0.5000, 0.0000]], "delta_e_f_ev_per_atom": 1.156, "e_above_lowest_polymorph_ev_per_fu": 0.00, "n_ef_per_ev_fu": 7.3, "dft_energy_ev_per_cell": -38.4, "rho_g_cm3": 15.90}


No. 8
{"formula": "Ta2NiIr", "functional": "PBE", "state": "optimized geometry", "lattice": [[2.7942, -3.8417, 0.0000], [2.7942, 3.8417, 0.0000], [-0.0087, 0.0000, 2.8721]], "species": ["Ta", "Ta", "Ni", "Ir"], "frac_coords": [[0.0000, 0.5000, 0.0000], [0.5000, 0.0000, 0.0000], [0.0000, 0.0000, 0.5000], [0.5000, 0.5000, 0.5000]], "delta_e_f_ev_per_atom": -0.379, "n_ef_per_ev_fu": 3.5, "dft_energy_ev_per_cell": -39.9, "rho_g_cm3": 16.50}


No. 9
{"formula": "TaNi3Ir", "functional": "PBE", "state": "optimized geometry", "lattice": [[2.1690, -5.8360, 0.0000], [2.1690, 5.8360, 0.0000], [0.0000, 0.0000, 5.2132]], "species": ["Ta", "Ta", "Ni", "Ni", "Ni", "Ni", "Ni", "Ni", "Ir", "Ir"], "frac_coords": [[0.1050, 0.8950, 0.7500], [0.8950, 0.1050, 0.2500], [0.3128, 0.6872, 0.5053], [0.3128, 0.6872, 0.9947], [0.4949, 0.5051, 0.7500], [0.5051, 0.4949, 0.2500], [0.6872, 0.3128, 0.0053], [0.6872, 0.3128, 0.4947], [0.1244, 0.8756, 0.2500], [0.8756, 0.1244, 0.7500]], "delta_e_f_ev_per_atom": -0.218, "e_above_lowest_polymorph_ev_per_fu": 0.00, "n_ef_per_ev_fu": 5.5, "dft_energy_ev_per_cell": -78.3, "rho_g_cm3": 13.82}


No. 10
{"formula": "Ta2NiIr", "functional": "PBE", "state": "optimized geometry", "lattice": [[3.2295, 0.0000, 0.0000], [0.0000, 3.2295, 0.0000], [0.0000, 0.0000, 5.9789]], "species": ["Ta", "Ta", "Ni", "Ir"], "frac_coords": [[0.0000, 0.0000, 0.0000], [0.5000, 0.5000, 0.3048], [0.5000, 0.5000, 0.7979], [0.0000, 0.0000, 0.5424]], "delta_e_f_ev_per_atom": -0.362, "n_ef_per_ev_fu": 2.7, "dft_energy_ev_per_cell": -39.8, "rho_g_cm3": 16.32}


No. 11
{"formula": "TaNi2Ir", "functional": "PBE", "state": "optimized geometry", "lattice": [[-1.8830, 1.8830, 3.7943], [1.8830, -1.8830, 3.7943], [1.8830, 1.8830, -3.7943]], "species": ["Ta", "Ni", "Ni", "Ir"], "frac_coords": [[0.0000, 0.0000, 0.0000], [0.2500, 0.7500, 0.5000], [0.7500, 0.2500, 0.5000], [0.5000, 0.5000, 0.0000]], "delta_e_f_ev_per_atom": -0.414, "n_ef_per_ev_fu": 3.8, "dft_energy_ev_per_cell": -33.9, "rho_g_cm3": 15.14}


No. 12
{"formula": "TaNi2Ir", "functional": "PBE", "state": "optimized geometry", "lattice": [[3.7517, 0.0000, 0.0000], [0.0000, 3.7517, 0.0000], [0.0000, 0.0000, 3.8177]], "species": ["Ta", "Ni", "Ni", "Ir"], "frac_coords": [[0.0000, 0.0000, 0.0000], [0.0000, 0.5000, 0.5000], [0.5000, 0.0000, 0.5000], [0.5000, 0.5000, 0.0000]], "delta_e_f_ev_per_atom": -0.459, "n_ef_per_ev_fu": 1.1, "dft_energy_ev_per_cell": -34.1, "rho_g_cm3": 15.16}


No. 13
{"formula": "TaNiIr3", "functional": "PBE", "state": "optimized geometry", "lattice": [[4.7514, 0.0000, 0.0000], [0.0000, 4.7514, 0.0000], [0.0000, 0.0000, 4.7514]], "species": ["Ta", "Ni", "Ir", "Ir", "Ir"], "frac_coords": [[0.0000, 0.0000, 0.0000], [0.5000, 0.5000, 0.5000], [0.0000, 0.0000, 0.5000], [0.0000, 0.5000, 0.0000], [0.5000, 0.0000, 0.0000]], "delta_e_f_ev_per_atom": 1.768, "e_above_lowest_polymorph_ev_per_fu": 3.06, "n_ef_per_ev_fu": 10.2, "dft_energy_ev_per_cell": -35.4, "rho_g_cm3": 12.64}


No. 14
{"formula": "Ta3NiIr", "functional": "PBE", "state": "optimized geometry", "lattice": [[4.8170, 0.0000, 0.0000], [0.0000, 4.8170, 0.0000], [0.0000, 0.0000, 4.8170]], "species": ["Ta", "Ta", "Ta", "Ni", "Ir"], "frac_coords": [[0.0000, 0.0000, 0.5000], [0.0000, 0.5000, 0.0000], [0.5000, 0.0000, 0.0000], [0.5000, 0.5000, 0.5000], [0.0000, 0.0000, 0.0000]], "delta_e_f_ev_per_atom": 1.318, "e_above_lowest_polymorph_ev_per_fu": 2.44, "n_ef_per_ev_fu": 5.9, "dft_energy_ev_per_cell": -43.6, "rho_g_cm3": 11.79}


No. 15
{"formula": "Ta2Ni2Ir", "functional": "PBE", "state": "optimized geometry", "lattice": [[6.7588, 0.0000, 0.0000], [0.0000, 6.7588, 0.0000], [0.0000, 0.0000, 3.1402]], "species": ["Ta", "Ta", "Ta", "Ta", "Ni", "Ni", "Ni", "Ni", "Ir", "Ir"], "frac_coords": [[0.1765, 0.3235, 0.0000], [0.3235, 0.8235, 0.0000], [0.6765, 0.1765, 0.0000], [0.8235, 0.6765, 0.0000], [0.1243, 0.6243, 0.5000], [0.3757, 0.1243, 0.5000], [0.6243, 0.8757, 0.5000], [0.8757, 0.3757, 0.5000], [0.0000, 0.0000, 0.5000], [0.5000, 0.5000, 0.5000]], "delta_e_f_ev_per_atom": -0.416, "e_above_lowest_polymorph_ev_per_fu": 0.00, "n_ef_per_ev_fu": 1.7, "dft_energy_ev_per_cell": -92.4, "rho_g_cm3": 15.55}


No. 16
{"formula": "Ta2NiIr", "functional": "PBE", "state": "optimized geometry", "lattice": [[1.4197, 0.8197, 9.0543], [-1.4197, 0.8197, 9.0543], [0.0000, -1.6393, 9.0543]], "species": ["Ta", "Ta", "Ni", "Ir"], "frac_coords": [[0.0000, 0.0000, 0.0000], [0.2372, 0.2372, 0.2372], [0.4937, 0.4937, 0.4937], [0.7474, 0.7474, 0.7474]], "delta_e_f_ev_per_atom": 0.013, "n_ef_per_ev_fu": 5.9, "dft_energy_ev_per_cell": -38.3, "rho_g_cm3": 16.10}


No. 17
{"formula": "TaNiTe2Ir", "functional": "PBE", "state": "optimized geometry", "lattice": [[5.2266, 0.0000, 0.0000], [0.0000, 5.2266, 0.0000], [0.0000, 0.0000, 4.5688]], "species": ["Ta", "Ni", "Te", "Te", "Ir"], "frac_coords": [[0.0000, 0.0000, 0.0000], [0.0000, 0.0000, 0.5000], [0.0000, 0.5000, 0.0000], [0.5000, 0.0000, 0.0000], [0.5000, 0.5000, 0.5000]], "e_form_raw_ev_per_atom": 1.39, "n_ef_per_ev_fu": 5.8, "dft_energy_ev_per_cell": -25.8, "rho_g_cm3": 9.14}


No. 18
{"formula": "TmTaNiIr", "functional": "PBE", "state": "optimized geometry", "lattice": [[0.0000, 3.2470, 3.2470], [3.2470, 0.0000, 3.2470], [3.2470, 3.2470, 0.0000]], "species": ["Tm", "Ta", "Ni", "Ir"], "frac_coords": [[0.0000, 0.0000, 0.0000], [0.5000, 0.5000, 0.5000], [0.2500, 0.2500, 0.2500], [0.7500, 0.7500, 0.7500]], "delta_e_f_ev_per_atom": -0.385, "n_ef_per_ev_fu": 3.5, "dft_energy_ev_per_cell": -32.5, "rho_g_cm3": 14.57}


No. 19
{"formula": "TaZnNiIr", "functional": "PBE", "state": "optimized geometry", "lattice": [[0.0000, 3.0709, 3.0709], [3.0709, 0.0000, 3.0709], [3.0709, 3.0709, 0.0000]], "species": ["Ta", "Zn", "Ni", "Ir"], "frac_coords": [[0.0000, 0.0000, 0.0000], [0.5000, 0.5000, 0.5000], [0.2500, 0.2500, 0.2500], [0.7500, 0.7500, 0.7500]], "delta_e_f_ev_per_atom": -0.370, "e_above_lowest_polymorph_ev_per_fu": 0.16, "n_ef_per_ev_fu": 1.6, "dft_energy_ev_per_cell": -29.2, "rho_g_cm3": 14.26}


No. 20
{"formula": "TaZnNiIr", "functional": "PBE", "state": "optimized geometry", "lattice": [[-1.9697, 1.9697, 3.6767], [1.9697, -1.9697, 3.6767], [1.9697, 1.9697, -3.6767]], "species": ["Ta", "Zn", "Ni", "Ir"], "frac_coords": [[0.0000, 0.0000, 0.0000], [0.5000, 0.5000, 0.0000], [0.2500, 0.7500, 0.5000], [0.7500, 0.2500, 0.5000]], "delta_e_f_ev_per_atom": -0.410, "e_above_lowest_polymorph_ev_per_fu": 0.00, "n_ef_per_ev_fu": 1.0, "dft_energy_ev_per_cell": -29.4, "rho_g_cm3": 14.47}